1.
{"formula": "FeAgIr3", "functional": "PBE-GGA", "state": "optimized geometry", "n_ef_per_ev_atom": 1.3771, "total_magnetization_mub_per_cell": 0.0, "de_polymorph_mev_per_atom": 0, "dft_energy_ev_per_atom": -6.172, "ef_ev_per_atom": 1.407, "cell": [[4.4658, 0.0000, 0.0000], [0.0000, 4.4658, 0.0000], [0.0000, 0.0000, 4.4658]], "species": ["Fe", "Ag", "Ir", "Ir", "Ir"], "fractional_positions": [[0.0000, 0.0000, 0.0000], [0.5000, 0.5000, 0.5000], [0.0000, 0.0000, 0.5000], [0.0000, 0.5000, 0.0000], [0.5000, 0.0000, 0.0000]]}

---

2.
{"formula": "FeAg3Ir", "functional": "PBE-GGA", "state": "optimized geometry", "n_ef_per_ev_atom": 1.0808, "total_magnetization_mub_per_cell": 3.8, "de_polymorph_mev_per_atom": 0, "dft_energy_ev_per_atom": -3.611, "ef_ev_per_atom": 1.564, "cell": [[4.6740, 0.0000, 0.0000], [0.0000, 4.6740, 0.0000], [0.0000, 0.0000, 4.6740]], "species": ["Fe", "Ag", "Ag", "Ag", "Ir"], "fractional_positions": [[0.0000, 0.0000, 0.0000], [0.0000, 0.0000, 0.5000], [0.0000, 0.5000, 0.0000], [0.5000, 0.0000, 0.0000], [0.5000, 0.5000, 0.5000]]}

---

3.
{"formula": "Fe2AgIrN", "functional": "PBE-GGA", "state": "optimized geometry", "n_ef_per_ev_atom": 0.7991, "total_magnetization_mub_per_cell": 5.0, "raw_formation_energy_ev_per_atom": 0.2065, "dft_energy_ev_per_atom": -7.186, "cell": [[3.9532, 0.0000, 0.0000], [0.0000, 3.9532, 0.0000], [0.0000, 0.0000, 4.0255]], "species": ["Fe", "Fe", "Ag", "Ir", "N"], "fractional_positions": [[0.0000, 0.5000, 0.0000], [0.5000, 0.0000, 0.0000], [0.0000, 0.0000, 0.5000], [0.5000, 0.5000, 0.5000], [0.5000, 0.5000, 0.0000]]}

---

4.
{"formula": "FeAg2IrPd", "functional": "PBE-GGA", "state": "optimized geometry", "n_ef_per_ev_atom": 1.3142, "total_magnetization_mub_per_cell": 4.0, "de_polymorph_mev_per_atom": 0, "dft_energy_ev_per_atom": -4.367, "ef_ev_per_atom": 1.277, "cell": [[5.0514, 0.0000, 0.0000], [0.0000, 5.0514, 0.0000], [0.0000, 0.0000, 4.4947]], "species": ["Fe", "Ag", "Ag", "Ir", "Pd"], "fractional_positions": [[0.0000, 0.0000, 0.0000], [0.0000, 0.5000, 0.5000], [0.5000, 0.0000, 0.5000], [0.0000, 0.0000, 0.5000], [0.5000, 0.5000, 0.0000]]}

---

5.
{"formula": "FeAg2IrPd", "functional": "PBE-GGA", "state": "optimized geometry", "n_ef_per_ev_atom": 2.4147, "total_magnetization_mub_per_cell": 4.1, "de_polymorph_mev_per_atom": 279, "dft_energy_ev_per_atom": -4.088, "ef_ev_per_atom": 1.556, "cell": [[5.0452, 0.0000, 0.0000], [0.0000, 5.0452, 0.0000], [0.0000, 0.0000, 4.7597]], "species": ["Fe", "Ag", "Ag", "Ir", "Pd"], "fractional_positions": [[0.0000, 0.0000, 0.0000], [0.0000, 0.5000, 0.5000], [0.5000, 0.0000, 0.5000], [0.5000, 0.5000, 0.5000], [0.5000, 0.5000, 0.0000]]}

---

6.
{"formula": "FeAg2IrSe", "functional": "PBE-GGA", "state": "optimized geometry", "n_ef_per_ev_atom": 1.2051, "total_magnetization_mub_per_cell": 3.5, "raw_formation_energy_ev_per_atom": 1.1549, "dft_energy_ev_per_atom": -4.147, "cell": [[4.8311, 0.0000, 0.0000], [0.0000, 4.8311, 0.0000], [0.0000, 0.0000, 4.4830]], "species": ["Fe", "Ag", "Ag", "Ir", "Se"], "fractional_positions": [[0.0000, 0.0000, 0.0000], [0.0000, 0.5000, 0.0000], [0.5000, 0.0000, 0.0000], [0.0000, 0.0000, 0.5000], [0.5000, 0.5000, 0.5000]]}

---

7.
{"formula": "FeSiAgIr2", "functional": "PBE-GGA", "state": "optimized geometry", "n_ef_per_ev_atom": 1.0827, "total_magnetization_mub_per_cell": 0.0, "raw_formation_energy_ev_per_atom": 1.0102, "dft_energy_ev_per_atom": -5.882, "cell": [[4.5188, 0.0000, 0.0000], [0.0000, 4.5188, 0.0000], [0.0000, 0.0000, 4.2374]], "species": ["Fe", "Si", "Ag", "Ir", "Ir"], "fractional_positions": [[0.0000, 0.0000, 0.0000], [0.0000, 0.0000, 0.5000], [0.5000, 0.5000, 0.5000], [0.0000, 0.5000, 0.0000], [0.5000, 0.0000, 0.0000]]}

---

8.
{"formula": "ZnFeAgIr", "functional": "PBE-GGA", "state": "optimized geometry", "n_ef_per_ev_atom": 0.7814, "total_magnetization_mub_per_cell": 3.4, "dft_energy_ev_per_atom": -5.268, "ef_ev_per_atom": 0.094, "cell": [[0.0000, 3.0785, 3.0785], [3.0785, 0.0000, 3.0785], [3.0785, 3.0785, 0.0000]], "species": ["Zn", "Fe", "Ag", "Ir"], "fractional_positions": [[0.0000, 0.0000, 0.0000], [0.5000, 0.5000, 0.5000], [0.7500, 0.7500, 0.7500], [0.2500, 0.2500, 0.2500]]}

---

9.
{"formula": "K2FeAg", "functional": "PBE-GGA", "state": "optimized geometry", "n_ef_per_ev_atom": 0.6057, "total_magnetization_mub_per_cell": 3.2, "de_polymorph_mev_per_atom": 263, "dft_energy_ev_per_atom": -2.565, "ef_ev_per_atom": 0.813, "cell": [[3.4964, -4.6343, 0.0000], [3.4964, 4.6343, 0.0000], [0.0000, 0.0000, 3.9650]], "species": ["K", "K", "Fe", "Ag"], "fractional_positions": [[0.0000, 0.5000, 0.0000], [0.5000, 0.0000, 0.0000], [0.0000, 0.0000, 0.5000], [0.5000, 0.5000, 0.5000]]}

---

10.
{"formula": "KFeAg2", "functional": "PBE-GGA", "state": "optimized geometry", "n_ef_per_ev_atom": 0.8511, "total_magnetization_mub_per_cell": 3.1, "de_polymorph_mev_per_atom": 92, "dft_energy_ev_per_atom": -3.280, "ef_ev_per_atom": 0.536, "cell": [[4.7108, -1.4340, 0.0000], [4.7108, 1.4340, 0.0000], [-0.5678, 0.0000, 6.9228]], "species": ["K", "Fe", "Ag", "Ag"], "fractional_positions": [[0.0000, 0.0000, 0.0000], [0.7681, 0.7681, 0.3559], [0.2402, 0.2402, 0.6820], [0.5038, 0.5038, 0.4735]]}

---

11.
{"formula": "KFe2Ag", "functional": "PBE-GGA", "state": "optimized geometry", "n_ef_per_ev_atom": 0.7565, "total_magnetization_mub_per_cell": 5.8, "de_polymorph_mev_per_atom": 184, "dft_energy_ev_per_atom": -4.490, "ef_ev_per_atom": 0.728, "cell": [[2.8215, 0.0000, 0.0000], [0.0000, 4.8436, 0.0000], [-0.9311, 0.0000, 6.6000]], "species": ["K", "Fe", "Fe", "Ag"], "fractional_positions": [[0.0000, 0.0000, 0.0000], [0.2738, 0.5000, 0.6363], [0.7262, 0.5000, 0.3637], [0.5000, 0.0000, 0.5000]]}

---

12.
{"formula": "KFe2Ag", "functional": "PBE-GGA", "state": "optimized geometry", "n_ef_per_ev_atom": 1.4642, "total_magnetization_mub_per_cell": 5.4, "de_polymorph_mev_per_atom": 591, "dft_energy_ev_per_atom": -4.083, "ef_ev_per_atom": 1.136, "cell": [[0.0000, 3.3667, 3.3667], [3.3667, 0.0000, 3.3667], [3.3667, 3.3667, 0.0000]], "species": ["K", "Fe", "Fe", "Ag"], "fractional_positions": [[0.0000, 0.0000, 0.0000], [0.5000, 0.5000, 0.5000], [0.7500, 0.7500, 0.7500], [0.2500, 0.2500, 0.2500]]}